Entry 1:
Here is a geometry-optimized BaLi2Ag2 structure from the Alexandria database. Energies are from PBE-GGA.

## Properties
Total magnetization: 0.00 μB/atom
Distance to the lowest polymorph of the same formula: 0.004 eV/atom
ΔH_f (0 K): -4.54 kcal/mol of atoms

Cell lengths 4.539, 4.539, 12.382 Å; angles 90.00, 90.00, 90.00 degrees
Space group I4/mmm (No. 139)
Unique sites:
Ba: 0.000 0.000 0.000 [2 per cell]
Li: 0.000 0.500 0.250 [4 per cell]
Ag: 0.000 0.000 0.382 [4 per cell]

Entry 2:
Here is a geometry-optimized YHoAlAu structure from the Alexandria database. Energies are from PBE-GGA.

## Properties
Total magnetization: 0.00 μB/atom
Distance to the lowest polymorph of the same formula: 0.000 eV/atom
ΔH_f (0 K): -14.50 kcal/mol of atoms

Cell lengths 3.554, 3.554, 7.440 Å; angles 90.00, 90.00, 90.00 degrees
Space group P4mm (No. 99)
Unique sites:
Y: 0.000 0.000 0.000 [1 per cell]
Ho: 0.000 0.000 0.487 [1 per cell]
Al: 0.500 0.500 0.742 [1 per cell]
Au: 0.500 0.500 0.252 [1 per cell]

Entry 3:
Here is a geometry-optimized Pm7Tm12Sc structure from the Alexandria database. Energies are from PBE-GGA.

## Properties
Total magnetization: 0.00 μB/atom
Distance to the lowest polymorph of the same formula: 0.000 eV/atom
ΔH_f (0 K): 5.44 kcal/mol of atoms

Cell lengths 11.8069, 11.8069, 16.1197 Å; angles 90.00, 90.00, 120.00 degrees
Space group R-3 (No. 148, hexagonal axes)
Unique sites:
Pm: 0.0000 0.0000 0.0000 [3 per cell]
Pm: 0.0578 0.8705 0.2886 [18 per cell]
Tm: 0.0322 0.5776 0.2213 [18 per cell]
Tm: 0.0535 0.4691 0.5834 [18 per cell]
Sc: 0.0000 0.0000 0.5000 [3 per cell]

Entry 4:
Here is a geometry-optimized Ca3MgPd3 structure from the Alexandria database. Energies are from PBE-GGA.

## Properties
Total magnetization: 0.00 μB/atom
Distance to the lowest polymorph of the same formula: 0.000 eV/atom
ΔH_f (0 K): -15.60 kcal/mol of atoms

Cell lengths 4.336, 10.678, 14.133 Å; angles 90.00, 90.00, 90.00 degrees
Space group Cmcm (No. 63)
Unique sites:
Ca: 0.000 0.016 0.250 [4 per cell]
Ca: 0.000 0.295 0.107 [8 per cell]
Mg: 0.000 0.000 0.000 [4 per cell]
Pd: 0.000 0.274 0.750 [4 per cell]
Pd: 0.000 0.417 0.589 [8 per cell]

Entry 5:
Here is a geometry-optimized TaCdSe2 structure from the Alexandria database. Energies are from PBE-GGA.

## Properties
Total magnetization: 0.00 μB/atom
Calculated total energy: -4.99 eV/atom

Cell lengths 3.184, 3.184, 8.590 Å; angles 90.00, 90.00, 90.00 degrees
Space group P4mm (No. 99)
Unique sites:
Ta: 0.000 0.000 0.000 [1 per cell]
Cd: 0.500 0.500 0.255 [1 per cell]
Se: 0.000 0.000 0.483 [1 per cell]
Se: 0.500 0.500 0.839 [1 per cell]

Entry 6:
Here is a geometry-optimized Li2Ge2Sb structure from the Alexandria database. Energies are from PBE-GGA.

## Properties
Total magnetization: 0.00 μB/atom
Distance to the lowest polymorph of the same formula: 0.117 eV/atom

Cell lengths 7.790, 7.790, 3.108 Å; angles 90.00, 90.00, 90.00 degrees
Space group P4/mbm (No. 127)
Unique sites:
Li: 0.118 0.382 0.000 [4 per cell]
Ge: 0.182 0.682 0.500 [4 per cell]
Sb: 0.000 0.000 0.000 [2 per cell]

Entry 7:
Here is a geometry-optimized Li6CaSn4 structure from the Alexandria database. Energies are from PBE-GGA.

## Properties
Total magnetization: 0.00 μB/atom
ΔH_f (0 K): -7.51 kcal/mol of atoms

Cell lengths 7.7287, 7.7287, 4.6354 Å; angles 90.00, 90.00, 120.00 degrees
Space group P-6m2 (No. 187)
Unique sites:
Li: 0.2019 0.4039 0.0000 [3 per cell]
Li: 0.2377 0.1189 0.5000 [3 per cell]
Ca: 0.6667 0.3333 0.0000 [1 per cell]
Sn: 0.0000 0.0000 0.0000 [1 per cell]
Sn: 0.0710 0.5355 0.5000 [3 per cell]

Entry 8:
Here is a geometry-optimized K2ScCd structure from the Alexandria database. Energies are from PBE-GGA.

## Properties
Total magnetization: 0.00 μB/atom
ΔH_f (0 K): 6.42 kcal/mol of atoms

Cell lengths 3.8267, 3.8267, 37.2439 Å; angles 90.00, 90.00, 120.00 degrees
Space group R3m (No. 160, hexagonal axes)
Unique sites:
K: 0.0000 0.0000 0.0000 [3 per cell]
K: 0.0000 0.0000 0.2221 [3 per cell]
Sc: 0.0000 0.0000 0.7571 [3 per cell]
Cd: 0.0000 0.0000 0.4781 [3 per cell]

Entry 9:
Here is a geometry-optimized Pr2Sm6Er3Mg structure from the Alexandria database. Energies are from PBE-GGA.

## Properties
Total magnetization: 0.00 μB/atom
ΔH_f (0 K): 0.30 kcal/mol of atoms

Cell lengths 6.204, 10.754, 11.848 Å; angles 90.00, 100.11, 90.00 degrees
Space group C2/m (No. 12)
Unique sites:
Pr: 0.000 0.167 0.000 [4 per cell]
Sm: 0.247 0.500 0.745 [4 per cell]
Sm: 0.249 0.335 0.254 [8 per cell]
Er: 0.000 0.000 0.500 [2 per cell]
Er: 0.000 0.334 0.500 [4 per cell]
Mg: 0.000 0.500 0.000 [2 per cell]

Entry 10:
Here is a geometry-optimized CdAsRh2 structure from the Alexandria database. Energies are from PBE-GGA.

## Properties
Total magnetization: 0.16 μB/atom
Distance to the lowest polymorph of the same formula: 0.175 eV/atom
ΔH_f (0 K): -2.03 kcal/mol of atoms

Cell lengths 6.342, 6.342, 6.342 Å; angles 90.00, 90.00, 90.00 degrees
Space group Fm-3m (No. 225)
Unique sites:
Cd: 0.000 0.000 0.000 [4 per cell]
As: 0.000 0.000 0.500 [4 per cell]
Rh: 0.250 0.250 0.250 [8 per cell]

Entry 11:
Here is a geometry-optimized La4HgTe2P structure from the Alexandria database. Energies are from PBE-GGA.

## Properties
Total magnetization: 0.00 μB/atom
Calculated total energy: -5.25 eV/atom

Cell lengths 7.831, 4.407, 7.885 Å; angles 90.00, 108.51, 90.00 degrees
Space group P2/m (No. 10)
Unique sites:
La: 0.225 0.000 0.227 [2 per cell]
La: 0.238 0.500 0.759 [2 per cell]
Hg: 0.000 0.000 0.500 [1 per cell]
Te: 0.500 0.000 0.000 [1 per cell]
Te: 0.500 0.500 0.500 [1 per cell]
P: 0.000 0.500 0.000 [1 per cell]

Entry 12:
Here is a geometry-optimized TbSm3Ho3Se8 structure from the Alexandria database. Energies are from PBE-GGA.

## Properties
Total magnetization: 0.00 μB/atom
Calculated total energy: -5.87 eV/atom

Cell lengths 8.1813, 8.1813, 20.1826 Å; angles 90.00, 90.00, 120.00 degrees
Space group R-3m (No. 166, hexagonal axes)
Unique sites:
Tb: 0.0000 0.0000 0.0000 [3 per cell]
Sm: 0.0000 0.5000 0.5000 [9 per cell]
Ho: 0.0000 0.5000 0.0000 [9 per cell]
Se: 0.0000 0.0000 0.2534 [6 per cell]
Se: 0.0078 0.5039 0.2515 [18 per cell]